This record from Alexandria via LeMat-Bulk describes a geometry-optimized La2MgCuH structure. The functional is PBE.

Unit cell a=5.232 b=5.232 c=4.018 alpha=90.00 beta=90.00 gamma=90.00
Positions (direct):
La  0.000  0.500  0.000
La  0.500  0.000  0.000
Mg  0.000  0.000  0.500
Cu  0.500  0.500  0.500
H  0.500  0.500  0.000

Calculated values
The calculation puts the calculated density at 5.53 g/cm3. The calculation puts the energy at -0.29006 Ry/atom.